Entry 1:
DFT (PBE) results for Zr2FeRe after structural relaxation.

## Properties
The density of states at the Fermi level is 1.068 states/eV per atom. The value obtained for the relative energy among the computed polymorphs is 299 meV per atom. For the formation energy, the calculation gives 113 meV/atom. Its crystal system is monoclinic. As for the final energy: -75.1 eV for the cell shown.

a b c (Å): 5.9778 8.5042 2.9219
angles (deg): 90.00 108.60 90.00
Last column: nearest neighbours and their distance in Å.
Space group C2/m (No. 12)
One atom of each set of equivalent atoms:
Zr1 0.2500 0.2500 0.0000 x4  2 Fe 2.74, 2 Re 2.74, 4 Zr 2.92-2.99
Fe1 0.0000 0.0000 0.5000 x2  4 Zr 2.74, 2 Fe 2.92, 2 Re 2.99
Re1 0.0000 0.5000 0.5000 x2  4 Zr 2.74, 2 Re 2.92, 2 Fe 2.99

Entry 2:
DFT (PBE) results for LiTl2RuS after structural relaxation.

## Properties
The density of states at the Fermi level is 3.248 states/eV per atom. Its crystal system is tetragonal. The calculation puts the energy relative to the elements, uncorrected at 627 meV/atom. As for the final energy: -16.9 eV for the cell shown.

a b c (Å): 5.4699 5.4699 4.1622
angles (deg): 90.00 90.00 90.00
Last column: nearest neighbours and their distance in Å.
Space group P4/mmm (No. 123)
One atom of each set of equivalent atoms:
Li1 0.0000 0.0000 0.0000 x1  2 S 2.08
Tl1 0.0000 0.5000 0.5000 x2  2 S 2.73
Ru1 0.5000 0.5000 0.0000 x1  8 Tl 3.44
S1 0.0000 0.0000 0.5000 x1  2 Li 2.08

Entry 3:
DFT (PBE) results for Pm5In2Ir after structural relaxation.

## Properties
The density of states at the Fermi level is 0.843 states/eV per atom. For the formation energy, the calculation gives -481 meV/atom. Its crystal system is orthorhombic. As for the final energy: -83.9 eV for the cell shown.

a b c (Å): 7.8239 12.4922 4.8450
angles (deg): 90.00 90.00 90.00
Last column: nearest neighbours and their distance in Å.
Space group Pbam (No. 55)
One atom of each set of equivalent atoms:
Pm1 0.0000 0.0000 0.0000 x2  4 In 3.25, 4 Pm 3.59
Pm2 0.1349 0.2948 0.0000 x4  1 Ir 2.77
Pm3 0.1826 0.5730 0.5000 x4  2 Ir 2.96
In1 0.0792 0.8332 0.5000 x4  9 Pm 3.25-3.53
Ir1 0.0000 0.5000 0.0000 x2  6 Pm 2.77-2.96